A plane-wave DFT calculation with PBE-GGA was carried out for NiAgPd2 after structural relaxation.

Properties
As for the space group: P4/mmm (123). The calculation puts the total energy at -18.66 eV per formula unit. The relative energy among the computed polymorphs is 0.0743 eV/atom. The calculation puts the formation enthalpy at 0 K at 90 meV/atom. For the density of states at the Fermi level, the calculation gives 0.9613 states/eV per atom.

Unit cell a=3.8698 b=3.9361 c=3.9361 alpha=90.00 beta=90.00 gamma=90.00
With the nearest neighbours (Å) after each atom.
Element x y z (fractional)
Ni (0.5000, 0.5000, 0.5000)  8 Pd 2.76, 4 Ag 2.78
Pd (0.0000, 0.0000, 0.5000)  4 Ag 2.76, 4 Ni 2.76, 4 Pd 2.78
Pd (0.0000, 0.5000, 0.0000)  4 Ni 2.76, 4 Ag 2.76, 4 Pd 2.78
Ag (0.5000, 0.0000, 0.0000)  8 Pd 2.76, 4 Ni 2.78


A plane-wave DFT calculation with PBE-GGA was carried out for Al2Rh after structural relaxation.

Properties
As for the space group: Pm (6). The calculation puts the total energy at -17.00 eV per formula unit. The calculation puts the formation enthalpy at 0 K at -722 meV/atom. For the density of states at the Fermi level, the calculation gives 0.1862 states/eV per atom.

Unit cell a=3.5394 b=8.2841 c=6.4068 alpha=111.82 beta=90.00 gamma=90.00
With the nearest neighbours (Å) after each atom.
Element x y z (fractional)
Al (0.5000, 0.4383, 0.6351)  4 Rh 2.53-2.73, 2 Al 2.67
Al (0.0000, 0.9890, 0.9946)  5 Rh 2.64-2.66, 5 Al 2.65-2.80
Al (0.0000, 0.6851, 0.6525)  4 Al 2.64-2.67, 6 Rh 2.64-2.77
Al (0.0000, 0.5057, 0.0047)  4 Rh 2.60-2.72, 6 Al 2.61-2.84
Al (0.5000, 0.2609, 0.0374)  4 Rh 2.59-2.78, 6 Al 2.76-2.80
Al (0.0000, 0.1772, 0.6804)  3 Rh 2.59-2.64, 7 Al 2.71-2.89
Al (0.0000, 0.8108, 0.3298)  6 Rh 2.60-2.71, 4 Al 2.61-2.76
Al (0.5000, 0.0684, 0.3367)  4 Rh 2.53-2.75, 6 Al 2.70-2.76
Rh (0.5000, 0.5794, 0.3238)  8 Al 2.59-2.66
Rh (0.5000, 0.9468, 0.6719)  10 Al 2.59-2.78
Rh (0.5000, 0.7498, 0.9883)  10 Al 2.65-2.75
Rh (0.0000, 0.2886, 0.3449)  8 Al 2.53-2.66